one:
The following is a DFT calculation (GGA-PBE) of Na3H3Pd after structural relaxation.

Cell lengths 4.323, 5.528, 5.528 Å; angles 113.46, 105.11, 105.11 degrees
Atoms (fractional coordinates):
Pd1 0.344 0.000 0.000
Na1 0.997 0.000 0.417
H1 0.135 0.675 0.675
H2 0.461 0.000 0.325
H3 0.461 0.325 0.000
Na2 0.997 0.417 0.000
Na3 0.580 0.583 0.583

Properties
Crystal system = trigonal

two:
The following is a DFT calculation (GGA-PBE) of Na3H3Pd after structural relaxation.

Cell lengths 4.840, 7.104, 7.103 Å; angles 119.76, 90.00, 90.00 degrees
Atoms (fractional coordinates):
Na1 0.250 0.633 0.816
H1 0.750 0.191 0.383
Na2 0.250 0.183 0.817
Na3 0.750 0.816 0.633
H2 0.750 0.617 0.809
Na4 0.250 0.184 0.367
H3 0.250 0.809 0.617
Na5 0.750 0.367 0.184
H4 0.250 0.810 0.190
Na6 0.750 0.817 0.183
Pd1 0.750 0.333 0.667
H5 0.250 0.383 0.191
Pd2 0.250 0.667 0.333
H6 0.750 0.190 0.810

Properties
Crystal system = orthorhombic

Which structure is the least stable? The one labeled one.